(1)
ThSiMo: relaxed, PBE-GGA.

* DFT total energy: -8.1290 eV per atom
* raw formation energy: -0.238 eV/atom

Cell lengths 4.327, 4.327, 4.013 Å; angles 90.00, 90.00, 120.00 degrees
Sites, in units of the cell vectors:
Th 0.000 0.000 0.000
Si 0.333 0.667 0.500
Mo 0.667 0.333 0.500


(2)
ThTiSi2Mo: relaxed, PBE-GGA.

* DFT total energy: -8.0800 eV per atom
* raw formation energy: -0.682 eV/atom

Cell lengths 6.367, 6.367, 6.367 Å; angles 142.93, 142.93, 53.43 degrees
Sites, in units of the cell vectors:
Th 0.000 0.000 0.000
Ti 0.750 0.250 0.500
Si 0.392 0.392 0.000
Si 0.608 0.608 0.000
Mo 0.250 0.750 0.500